1.
# Cr2Cl, relaxed, DFT PBE
data_Cr2Cl
_chemical_formula_sum 'Cr2 Cl1'
_space_group_name_H-M_alt 'P 4/m m m'
_space_group_IT_number 123
_space_group_name_Hall '-P 4 2'
_cell_length_a 3.9101
_cell_length_b 3.9101
_cell_length_c 3.0441
_cell_angle_alpha 90.00
_cell_angle_beta 90.00
_cell_angle_gamma 90.00
loop_
_atom_site_label
_atom_site_fract_x
_atom_site_fract_y
_atom_site_fract_z
_atom_site_occupancy
Cr1 0.0000 0.5000 0.0000 1
Cl1 0.0000 0.0000 0.5000 1
# Formation energy from raw total energies = 1091 meV/atom
# E above lowest polymorph = 1199 meV per atom

---

2.
# Cr2Cl, relaxed, DFT PBE
data_Cr2Cl
_chemical_formula_sum 'Cr2 Cl1'
_space_group_name_H-M_alt 'P -3 m 1'
_space_group_IT_number 164
_space_group_name_Hall '-P 3 2"'
_cell_length_a 3.9624
_cell_length_b 3.9624
_cell_length_c 2.8009
_cell_angle_alpha 90.00
_cell_angle_beta 90.00
_cell_angle_gamma 120.00
loop_
_atom_site_label
_atom_site_fract_x
_atom_site_fract_y
_atom_site_fract_z
_atom_site_occupancy
Cr1 0.3333 0.6667 0.3183 1
Cl1 0.0000 0.0000 0.5000 1
# Formation energy from raw total energies = 648 meV/atom
# E above lowest polymorph = 756 meV per atom

---

3.
# CrCl, relaxed, DFT PBE
data_CrCl
_chemical_formula_sum 'Cr2 Cl2'
_space_group_name_H-M_alt 'C m m m'
_space_group_IT_number 65
_space_group_name_Hall '-C 2 2'
_cell_length_a 3.4403
_cell_length_b 6.6343
_cell_length_c 3.8880
_cell_angle_alpha 90.00
_cell_angle_beta 90.00
_cell_angle_gamma 90.00
loop_
_atom_site_label
_atom_site_fract_x
_atom_site_fract_y
_atom_site_fract_z
_atom_site_occupancy
Cr1 0.0000 0.0000 0.0000 1
Cl1 0.0000 0.5000 0.5000 1
# Formation energy from raw total energies = 42 meV/atom

---

4.
# Cr3Cl, relaxed, DFT PBE
data_Cr3Cl
_chemical_formula_sum 'Cr9 Cl3'
_space_group_name_H-M_alt 'R -3 m'
_space_group_IT_number 166
_space_group_name_Hall '-R 3 2"'
_cell_length_a 7.8499
_cell_length_b 7.8499
_cell_length_c 2.7596
_cell_angle_alpha 90.00
_cell_angle_beta 90.00
_cell_angle_gamma 120.00
loop_
_atom_site_label
_atom_site_fract_x
_atom_site_fract_y
_atom_site_fract_z
_atom_site_occupancy
Cr1 0.0000 0.5000 0.0000 1
Cl1 0.0000 0.0000 0.0000 1
# Formation energy from raw total energies = 774 meV/atom
# E above lowest polymorph = 621 meV per atom

---

5.
# CrCl, relaxed, DFT PBE
data_CrCl
_chemical_formula_sum 'Cr6 Cl6'
_space_group_name_H-M_alt 'P m n 21'
_space_group_IT_number 31
_cell_length_a 10.7391
_cell_length_b 3.4649
_cell_length_c 7.0207
_cell_angle_alpha 90.00
_cell_angle_beta 90.00
_cell_angle_gamma 90.00
loop_
_space_group_symop_operation_xyz
'x,y,z'
'-x+1/2,-y,z+1/2'
'-x,y,z'
'x+1/2,-y,z+1/2'
loop_
_atom_site_label
_atom_site_fract_x
_atom_site_fract_y
_atom_site_fract_z
_atom_site_occupancy
Cr1 0.0000 0.0269 0.0000 1
Cr2 0.1247 0.5200 0.8166 1
Cl1 0.0000 0.5319 0.5512 1
Cl2 0.1750 0.5040 0.1502 1
# Formation energy from raw total energies = -338 meV/atom

---

6.
# CrCl3, relaxed, DFT PBE
data_CrCl3
_chemical_formula_sum 'Cr4 Cl12'
_space_group_name_H-M_alt 'I 4/m m m'
_space_group_IT_number 139
_space_group_name_Hall '-I 4 2'
_cell_length_a 3.9488
_cell_length_b 3.9488
_cell_length_c 25.4768
_cell_angle_alpha 90.00
_cell_angle_beta 90.00
_cell_angle_gamma 90.00
loop_
_atom_site_label
_atom_site_fract_x
_atom_site_fract_y
_atom_site_fract_z
_atom_site_occupancy
Cr1 0.0000 0.0000 0.1865 1
Cl1 0.0000 0.0000 0.3554 1
Cl2 0.0000 0.5000 0.0000 1
Cl3 0.0000 0.5000 0.2500 1
# Formation energy from raw total energies = -83 meV/atom